A:
# VTcNiP2

VTcNiP2 after structural relaxation (GGA-PBE, Alexandria).

Cell: 8.2486 3.4649 6.1844 Å, 90.00 131.65 90.00°
Last column: nearest neighbours and their distance in Å.
Element x y z (fractional)
V (0.0000, 0.0000, 0.0000)  4 P 2.35-2.46, 3 Ni 2.61-2.62
V (0.5000, 0.5000, 0.0000)  4 P 2.35-2.46, 3 Ni 2.61-2.62
Tc (0.3902, 0.5000, 0.3600)  5 P 2.39-2.58, 3 Ni 2.64
Tc (0.8902, 0.0000, 0.3600)  5 P 2.39-2.58, 3 Ni 2.64
Ni (0.1020, 0.5000, 0.7897)  3 P 2.18-2.21
Ni (0.6020, 0.0000, 0.7897)  3 P 2.18-2.21
P (0.2490, 0.0000, 0.5091)  1 Ni 2.18, 1 V 2.35, 1 Tc 2.45
P (0.3172, 0.0000, 0.0399)  2 Ni 2.21, 2 Tc 2.39, 3 V 2.41-2.46
P (0.7490, 0.5000, 0.5091)  1 Ni 2.18, 1 V 2.35, 1 Tc 2.45
P (0.8172, 0.5000, 0.0399)  2 Ni 2.21, 2 Tc 2.39, 3 V 2.41-2.46

Calculated values
DOS at the Fermi energy   0.544 states/eV per atom
V   132 Å³ per cell
Spin magnetization   0.00 μB per formula unit


B:
# VTcNiP2

VTcNiP2 after structural relaxation (GGA-PBE, Alexandria).

Cell: 8.3509 3.4294 4.9293 Å, 90.00 104.82 90.00°
Last column: nearest neighbours and their distance in Å.
Element x y z (fractional)
V (0.0000, 0.0000, 0.0000)  5 P 2.34-2.60, 1 Ni 2.46
V (0.5000, 0.5000, 0.0000)  5 P 2.34-2.60, 1 Ni 2.46
Tc (0.2514, 0.5000, 0.3303)  5 P 2.40-2.64, 2 Ni 2.64
Tc (0.7514, 0.0000, 0.3303)  5 P 2.40-2.64, 2 Ni 2.64
Ni (0.0807, 0.0000, 0.5530)  4 P 2.22-2.28, 1 V 2.46
Ni (0.5807, 0.5000, 0.5530)  4 P 2.22-2.28, 1 V 2.46
P (0.1853, 0.5000, 0.8269)  2 Ni 2.22, 1 Tc 2.40
P (0.4437, 0.0000, 0.2854)  2 Ni 2.28, 2 V 2.34, 3 Tc 2.40-2.52
P (0.6853, 0.0000, 0.8269)  2 Ni 2.22, 1 Tc 2.40
P (0.9437, 0.5000, 0.2854)  2 Ni 2.28, 2 V 2.34, 3 Tc 2.40-2.52

Calculated values
DOS at the Fermi energy   0.610 states/eV per atom
V   136 Å³ per cell
Spin magnetization   0.00 μB per formula unit


C:
# VTcNiP2

VTcNiP2 after structural relaxation (GGA-PBE, Alexandria).

Cell: 7.3689 3.1035 6.6401 Å, 90.00 118.27 90.00°
Last column: nearest neighbours and their distance in Å.
Element x y z (fractional)
V (0.0000, 0.0000, 0.0000)  5 P 2.43-2.51
V (0.5000, 0.5000, 0.0000)  5 P 2.43-2.51
Tc (0.2517, 0.0000, 0.6142)  5 P 2.40-2.49
Tc (0.7517, 0.5000, 0.6142)  5 P 2.40-2.49
Ni (0.3324, 0.5000, 0.3015)  3 P 2.16-2.19
Ni (0.8324, 0.0000, 0.3015)  3 P 2.16-2.19
P (0.0336, 0.5000, 0.2968)  3 Ni 2.16-2.19
P (0.1203, 0.5000, 0.7901)  3 Tc 2.40, 3 V 2.47-2.51
P (0.5336, 0.0000, 0.2968)  3 Ni 2.16-2.19
P (0.6203, 0.0000, 0.7901)  3 Tc 2.40, 3 V 2.47-2.51

Calculated values
DOS at the Fermi energy   0.549 states/eV per atom
V   134 Å³ per cell
Spin magnetization   1.33 μB per formula unit


Relative energies, in meV per atom, with the most stable structure set to zero: A 22; B 0; C 43.


A:
# VTcNiP2

VTcNiP2 after structural relaxation (GGA-PBE, Alexandria).

Cell: 8.3880 3.3950 4.5759 Å, 90.00 90.01 90.00°
Last column: nearest neighbours and their distance in Å.
Element x y z (fractional)
V (0.0000, 0.0000, 0.0000)  5 P 2.37-2.65, 2 Ni 2.66
V (0.5000, 0.5000, 0.0000)  5 P 2.37-2.65, 2 Ni 2.66
Tc (0.4202, 0.0000, 0.4924)  5 P 2.39-2.63
Tc (0.9202, 0.5000, 0.4924)  5 P 2.39-2.63
Ni (0.2072, 0.5000, 0.2347)  4 P 2.23-2.29
Ni (0.7072, 0.0000, 0.2347)  4 P 2.23-2.29
P (0.1231, 0.0000, 0.5335)  2 Ni 2.29, 1 V 2.37, 3 Tc 2.41-2.50, 1 P 2.45
P (0.2966, 0.0000, 0.9633)  2 Ni 2.23, 1 Tc 2.39, 3 V 2.41-2.49, 1 P 2.45
P (0.6231, 0.5000, 0.5335)  2 Ni 2.29, 1 V 2.37, 3 Tc 2.41-2.50, 1 P 2.45
P (0.7966, 0.5000, 0.9633)  2 Ni 2.23, 1 Tc 2.39, 3 V 2.41-2.49, 1 P 2.45

Calculated values
DOS at the Fermi energy   0.937 states/eV per atom
V   130 Å³ per cell
Spin magnetization   0.01 μB per formula unit


B:
# VTcNiP2

VTcNiP2 after structural relaxation (GGA-PBE, Alexandria).

Cell: 3.1411 3.1411 12.9164 Å, 90.00 90.00 90.00°
Last column: nearest neighbours and their distance in Å.
Element x y z (fractional)
V (0.0000, 0.0000, 0.0000)  5 P 2.42-2.56
V (0.5000, 0.5000, 0.5000)  5 P 2.42-2.56
Tc (0.0000, 0.0000, 0.3772)  2 P 2.31-2.54
Tc (0.5000, 0.5000, 0.8772)  2 P 2.31-2.54
Ni (0.0000, 0.0000, 0.7506)  5 P 2.28-2.32
Ni (0.5000, 0.5000, 0.2506)  5 P 2.28-2.32
P (0.0000, 0.0000, 0.1981)  1 Tc 2.31, 4 Ni 2.32, 1 V 2.56
P (0.0000, 0.0000, 0.5739)  1 Ni 2.28, 4 V 2.42, 1 Tc 2.54
P (0.5000, 0.5000, 0.0739)  1 Ni 2.28, 4 V 2.42, 1 Tc 2.54
P (0.5000, 0.5000, 0.6981)  1 Tc 2.31, 4 Ni 2.32, 1 V 2.56

Calculated values
DOS at the Fermi energy   0.547 states/eV per atom
V   127 Å³ per cell
Spin magnetization   0.00 μB per formula unit


C:
# VTcNiP2

VTcNiP2 after structural relaxation (GGA-PBE, Alexandria).

Cell: 3.0421 3.1802 13.6538 Å, 90.00 90.00 90.00°
Last column: nearest neighbours and their distance in Å.
Element x y z (fractional)
V (0.0000, 0.0000, 0.0000)  6 P 2.39-2.40
V (0.5000, 0.5000, 0.5000)  6 P 2.39-2.40
Tc (0.0000, 0.5000, 0.3049)  4 P 2.37
Tc (0.5000, 0.0000, 0.8049)  4 P 2.37
Ni (0.0000, 0.5000, 0.6776)  2 P 2.16
Ni (0.5000, 0.0000, 0.1776)  2 P 2.16
P (0.0000, 0.0000, 0.5707)  2 Ni 2.16, 4 V 2.40
P (0.0000, 0.5000, 0.8695)  4 Tc 2.37, 2 V 2.39, 1 Ni 2.62
P (0.5000, 0.0000, 0.3695)  4 Tc 2.37, 2 V 2.39, 1 Ni 2.62
P (0.5000, 0.5000, 0.0707)  2 Ni 2.16, 4 V 2.40

Calculated values
DOS at the Fermi energy   0.558 states/eV per atom
V   132 Å³ per cell
Spin magnetization   0.00 μB per formula unit


Relative energies, in meV per atom, with the most stable structure set to zero: A 0; B 233; C 68.


A:
# VTcNiP2

VTcNiP2 after structural relaxation (GGA-PBE, Alexandria).

Cell: 3.7178 3.7178 17.4802 Å, 90.00 90.00 120.00°
Last column: nearest neighbours and their distance in Å.
Element x y z (fractional)
V (0.0000, 0.0000, 0.0000)  6 P 2.54-2.58, 3 Ni 2.81
V (0.3333, 0.6667, 0.6667)  6 P 2.54-2.58, 3 Ni 2.81
V (0.6667, 0.3333, 0.3333)  6 P 2.54-2.58, 3 Ni 2.81
Tc (0.0000, 0.0000, 0.5502)  4 P 2.25-2.37
Tc (0.3333, 0.6667, 0.2169)  4 P 2.25-2.37
Tc (0.6667, 0.3333, 0.8836)  4 P 2.25-2.37
Ni (0.0000, 0.0000, 0.7703)  3 P 2.18
Ni (0.3333, 0.6667, 0.4370)  3 P 2.18
Ni (0.6667, 0.3333, 0.1037)  3 P 2.18
P (0.0000, 0.0000, 0.2551)  3 Tc 2.25
P (0.0000, 0.0000, 0.4149)  3 Ni 2.18, 1 Tc 2.37
P (0.3333, 0.6667, 0.0816)  3 Ni 2.18, 1 Tc 2.37
P (0.3333, 0.6667, 0.9218)  3 Tc 2.25
P (0.6667, 0.3333, 0.5885)  3 Tc 2.25
P (0.6667, 0.3333, 0.7482)  3 Ni 2.18, 1 Tc 2.37

Calculated values
DOS at the Fermi energy   0.738 states/eV per atom
V   209 Å³ per cell
Spin magnetization   0.69 μB per formula unit


B:
# VTcNiP2

VTcNiP2 after structural relaxation (GGA-PBE, Alexandria).

Cell: 3.8303 3.0627 11.6608 Å, 90.00 90.00 90.00°
Last column: nearest neighbours and their distance in Å.
Element x y z (fractional)
V (0.0000, 0.0000, 0.0000)  2 Tc 2.44, 6 P 2.52-2.69
V (0.0000, 0.5000, 0.5000)  2 Tc 2.44, 6 P 2.52-2.69
Tc (0.5000, 0.0000, 0.8707)  2 V 2.44, 6 P 2.55-2.58, 2 Ni 2.61
Tc (0.5000, 0.5000, 0.3707)  2 V 2.44, 6 P 2.55-2.58, 2 Ni 2.61
Ni (0.5000, 0.0000, 0.1894)  4 P 2.24-2.38
Ni (0.5000, 0.5000, 0.6894)  4 P 2.24-2.38
P (0.0000, 0.0000, 0.3100)  2 Ni 2.38, 4 Tc 2.55
P (0.0000, 0.5000, 0.8100)  2 Ni 2.38, 4 Tc 2.55
P (0.5000, 0.0000, 0.5488)  2 Ni 2.24
P (0.5000, 0.5000, 0.0488)  2 Ni 2.24

Calculated values
DOS at the Fermi energy   0.585 states/eV per atom
V   137 Å³ per cell
Spin magnetization   0.00 μB per formula unit


C:
# VTcNiP2

VTcNiP2 after structural relaxation (GGA-PBE, Alexandria).

Cell: 7.1621 3.9576 5.1599 Å, 90.00 90.33 90.00°
Last column: nearest neighbours and their distance in Å.
Element x y z (fractional)
V (0.0000, 0.0000, 0.0000)  1 Ni 2.44, 3 Tc 2.50-2.68, 4 P 2.52-2.72
V (0.5000, 0.5000, 0.0000)  1 Ni 2.44, 3 Tc 2.50-2.68, 4 P 2.52-2.72
Tc (0.3433, 0.0000, 0.7960)  4 P 2.32-2.43, 2 V 2.50
Tc (0.8433, 0.5000, 0.7960)  4 P 2.32-2.43, 2 V 2.50
Ni (0.3831, 0.5000, 0.4442)  3 P 2.22-2.27, 1 V 2.44
Ni (0.8831, 0.0000, 0.4442)  3 P 2.22-2.27, 1 V 2.44
P (0.1651, 0.5000, 0.7475)  1 Ni 2.22, 3 Tc 2.32-2.37
P (0.2978, 0.0000, 0.2618)  2 Ni 2.27, 1 Tc 2.43, 1 V 2.52
P (0.6651, 0.0000, 0.7475)  1 Ni 2.22, 3 Tc 2.32-2.37
P (0.7978, 0.5000, 0.2618)  2 Ni 2.27, 1 Tc 2.43, 1 V 2.52

Calculated values
DOS at the Fermi energy   0.591 states/eV per atom
V   146 Å³ per cell
Spin magnetization   0.00 μB per formula unit


D:
# VTcNiP2

VTcNiP2 after structural relaxation (GGA-PBE, Alexandria).

Cell: 3.5378 4.3985 4.9163 Å, 102.25 98.58 112.21°
Last column: nearest neighbours and their distance in Å.
Element x y z (fractional)
V (0.0000, 0.0000, 0.0000)  5 P 2.40-2.56, 2 Ni 2.61-2.63
Tc (0.2687, 0.6689, 0.5000)  5 P 2.38-2.59, 1 Ni 2.64
Ni (0.6389, 0.3360, 0.7623)  4 P 2.24-2.30
P (0.3203, 0.6063, 0.0151)  2 Ni 2.24-2.25, 1 Tc 2.38, 3 V 2.40-2.45
P (0.9520, 0.0589, 0.4899)  2 Ni 2.30, 3 Tc 2.38-2.47, 2 V 2.41-2.56

Calculated values
DOS at the Fermi energy   0.662 states/eV per atom
V   67 Å³ per cell
Spin magnetization   0.00 μB per formula unit


Relative energies, in meV per atom, with the most stable structure set to zero: A 0; B 161; C 97; D 20.


A:
# Ni2TeP2

Ni2TeP2 after structural relaxation (GGA-PBE, Alexandria).

Cell: 7.5175 7.5175 2.8967 Å, 90.00 90.00 90.00°
Last column: nearest neighbours and their distance in Å.
Element x y z (fractional)
Ni (0.1139, 0.3861, 0.0000)  4 P 2.36, 1 Ni 2.42
Ni (0.3861, 0.8861, 0.0000)  4 P 2.36, 1 Ni 2.42
Ni (0.6139, 0.1139, 0.0000)  4 P 2.36, 1 Ni 2.42
Ni (0.8861, 0.6139, 0.0000)  4 P 2.36, 1 Ni 2.42
Te (0.0000, 0.0000, 0.5000)  2 Te 2.90, 4 P 2.94
Te (0.5000, 0.5000, 0.5000)  2 Te 2.90, 4 P 2.94
P (0.1325, 0.6325, 0.5000)  4 Ni 2.36
P (0.3675, 0.1325, 0.5000)  4 Ni 2.36
P (0.6325, 0.8675, 0.5000)  4 Ni 2.36
P (0.8675, 0.3675, 0.5000)  4 Ni 2.36

Calculated values
DOS at the Fermi energy   0.447 states/eV per atom
V   164 Å³ per cell
Spin magnetization   0.00 μB per formula unit


B:
# Ni2TeP2

Ni2TeP2 after structural relaxation (GGA-PBE, Alexandria).

Cell: 4.0884 4.0884 9.0789 Å, 90.00 90.00 90.00°
Last column: nearest neighbours and their distance in Å.
Element x y z (fractional)
Ni (0.0000, 0.5000, 0.2500)  4 P 2.33
Ni (0.0000, 0.5000, 0.7500)  4 P 2.33
Ni (0.5000, 0.0000, 0.2500)  4 P 2.33
Ni (0.5000, 0.0000, 0.7500)  4 P 2.33
Te (0.0000, 0.0000, 0.0000)  8 Ni 3.05, 10 P 3.11-3.39
Te (0.5000, 0.5000, 0.5000)  8 Ni 3.05, 10 P 3.11-3.39
P (0.0000, 0.0000, 0.3729)  1 P 2.31, 4 Ni 2.33
P (0.0000, 0.0000, 0.6271)  1 P 2.31, 4 Ni 2.33
P (0.5000, 0.5000, 0.1271)  1 P 2.31, 4 Ni 2.33
P (0.5000, 0.5000, 0.8729)  1 P 2.31, 4 Ni 2.33

Calculated values
DOS at the Fermi energy   0.593 states/eV per atom
V   152 Å³ per cell
Spin magnetization   0.00 μB per formula unit


Relative energies, in meV per atom, with the most stable structure set to zero: A 241; B 0.